Entry 1:
Entry from OQMD via LeMat-Bulk: a geometry-optimized ZnGaTe2 structure (PBE). Values from VASP.

The total energy comes out at -2.4180 eV per atom.

Geometry as Quantum ESPRESSO input:
```
&SYSTEM
  ibrav = 0, nat = 4, ntyp = 3
/
ATOMIC_SPECIES
Ga 69.72 Ga.upf
Te 127.60 Te.upf
Zn 65.41 Zn.upf
CELL_PARAMETERS angstrom
0.370 -5.193 0.076
2.642 -2.366 3.812
-2.548 -2.739 3.622
ATOMIC_POSITIONS angstrom
Ga 0.348 -7.724 5.633
Te 0.000 0.000 0.000
Te 0.116 -2.575 1.878
Zn 0.232 -5.149 3.755
```

---

Entry 2:
Entry from OQMD via LeMat-Bulk: a geometry-optimized ZrGaTe structure (PBE). Values from VASP.

The total energy comes out at -4.9552 eV per atom. Its excess energy over the best structure of this formula in the dataset is 0 meV per atom. The value obtained for the total magnetization is 0.0 μB/cell.

Geometry as Quantum ESPRESSO input:
```
&SYSTEM
  ibrav = 0, nat = 3, ntyp = 3
/
ATOMIC_SPECIES
Ga 69.72 Ga.upf
Te 127.60 Te.upf
Zr 91.22 Zr.upf
CELL_PARAMETERS angstrom
0.000 3.402 3.402
3.402 0.000 3.402
3.402 3.402 0.000
ATOMIC_POSITIONS angstrom
Ga 1.701 1.701 1.701
Te 5.103 5.103 5.103
Zr 0.000 0.000 0.000
```

---

Entry 3:
Entry from OQMD via LeMat-Bulk: a geometry-optimized ZrGaTe structure (PBE). Values from VASP.

The total energy comes out at -4.8581 eV per atom. Its excess energy over the best structure of this formula in the dataset is 97 meV per atom. The value obtained for the total magnetization is 0.0 μB/cell.

Geometry as Quantum ESPRESSO input:
```
&SYSTEM
  ibrav = 0, nat = 3, ntyp = 3
/
ATOMIC_SPECIES
Ga 69.72 Ga.upf
Te 127.60 Te.upf
Zr 91.22 Zr.upf
CELL_PARAMETERS angstrom
0.000 3.406 3.406
3.406 0.000 3.406
3.406 3.406 0.000
ATOMIC_POSITIONS angstrom
Ga 1.703 1.703 1.703
Te 0.000 0.000 0.000
Zr 5.110 5.110 5.110
```

---

Entry 4:
Entry from OQMD via LeMat-Bulk: a geometry-optimized ZrGa2Te structure (PBE). Values from VASP.

The total energy comes out at -4.4732 eV per atom. The value obtained for the total magnetization is 0.0 μB/cell.

Geometry as Quantum ESPRESSO input:
```
&SYSTEM
  ibrav = 0, nat = 4, ntyp = 3
/
ATOMIC_SPECIES
Ga 69.72 Ga.upf
Te 127.60 Te.upf
Zr 91.22 Zr.upf
CELL_PARAMETERS angstrom
0.000 3.520 3.520
3.520 0.000 3.520
3.520 3.520 0.000
ATOMIC_POSITIONS angstrom
Ga 0.000 0.000 0.000
Ga 1.760 1.760 1.760
Te 5.279 5.279 5.279
Zr 3.520 3.520 3.520
```

---

Entry 5:
Entry from OQMD via LeMat-Bulk: a geometry-optimized ThGa structure (PBE). Values from VASP.

The total energy comes out at -4.9683 eV per atom. The value obtained for the total magnetization is 0.0 μB/cell.

Geometry as Quantum ESPRESSO input:
```
&SYSTEM
  ibrav = 0, nat = 4, ntyp = 2
/
ATOMIC_SPECIES
Ga 69.72 Ga.upf
Th 232.04 Th.upf
CELL_PARAMETERS angstrom
2.590 -4.486 0.000
2.590 4.486 0.000
0.000 0.000 5.899
ATOMIC_POSITIONS angstrom
Ga 2.590 1.495 2.580
Ga 0.000 0.000 5.530
Th 0.000 0.000 2.582
Th 2.590 1.495 5.532
```

---

Entry 6:
Entry from OQMD via LeMat-Bulk: a geometry-optimized ThGa structure (PBE). Values from VASP.

The total energy comes out at -5.7474 eV per atom. The value obtained for the total magnetization is 0.0 μB/cell.

Geometry as Quantum ESPRESSO input:
```
&SYSTEM
  ibrav = 0, nat = 16, ntyp = 2
/
ATOMIC_SPECIES
Ga 69.72 Ga.upf
Th 232.04 Th.upf
CELL_PARAMETERS angstrom
16.396 0.000 0.000
0.000 4.135 0.000
0.000 0.000 6.063
ATOMIC_POSITIONS angstrom
Ga 10.547 3.101 0.029
Ga 1.746 1.034 1.474
Ga 9.944 1.034 1.557
Ga 2.349 3.101 3.002
Ga 14.047 1.034 3.061
Ga 6.452 3.101 4.505
Ga 14.650 3.101 4.589
Ga 5.849 1.034 6.033
Th 12.890 1.034 0.076
Th 15.795 3.101 1.515
Th 7.597 3.101 1.517
Th 4.692 1.034 2.955
Th 11.704 3.101 3.107
Th 8.798 1.034 4.546
Th 0.601 1.034 4.548
Th 3.506 3.101 5.987
```